Compound: InCoAuO3
Source: OQMD via LeMat-Bulk
Functional: GGA+U
Structure: relaxed

Cell and atoms, written as CIF:
```
data_InCoAuO3
_space_group_name_H-M_alt 'P 1'
_space_group_IT_number 1
_space_group_name_Hall 'P 1'
_cell_length_a 11.683
_cell_length_b 3.088
_cell_length_c 8.187
_cell_angle_alpha 90.00
_cell_angle_beta 90.00
_cell_angle_gamma 90.00
loop_
_atom_site_label
_atom_site_type_symbol
_atom_site_fract_x
_atom_site_fract_y
_atom_site_fract_z
Au1 Au 0.422 0.250 0.048
Au2 Au 0.922 0.250 0.452
Au3 Au 0.078 0.750 0.548
Au4 Au 0.578 0.750 0.952
Co1 Co 0.052 0.750 0.151
Co2 Co 0.552 0.750 0.349
Co3 Co 0.448 0.250 0.651
Co4 Co 0.948 0.250 0.849
In1 In 0.772 0.750 0.146
In2 In 0.272 0.750 0.354
In3 In 0.728 0.250 0.646
In4 In 0.228 0.250 0.854
O1 O 0.299 0.750 0.092
O2 O 0.909 0.250 0.095
O3 O 0.145 0.250 0.247
O4 O 0.645 0.250 0.253
O5 O 0.409 0.250 0.405
O6 O 0.799 0.750 0.408
O7 O 0.201 0.250 0.592
O8 O 0.591 0.750 0.595
O9 O 0.355 0.750 0.747
O10 O 0.855 0.750 0.753
O11 O 0.091 0.750 0.905
O12 O 0.701 0.250 0.908
```

Crystal system: orthorhombic
Density, g cm⁻³: 9.4
Energy, eV/atom: -4.972